1.
# Ac3Ho

A relaxed structure of Ac3Ho (PBE-GGA, Alexandria). Values from VASP.

Results
Crystal system: cubic
VASP energy, eV/atom: -4.064

Quantum ESPRESSO input file:
```
&SYSTEM
  ibrav = 0, nat = 4, ntyp = 2
/
ATOMIC_SPECIES
Ho 164.93 Ho.upf
Ac 227.00 Ac.upf
CELL_PARAMETERS angstrom
-5.443 2.186 1.965
-5.262 -2.175 -2.418
-3.723 -3.578 3.406
ATOMIC_POSITIONS crystal
Ho 0.500 0.500 0.500
Ac 0.750 0.750 0.750
Ac 0.000 0.000 0.000
Ac 0.250 0.250 0.250
```


2.
# AcHo6

A relaxed structure of AcHo6 (PBE-GGA, Alexandria). Values from VASP.

Results
Crystal system: cubic
VASP energy, eV/atom: -3.215

Quantum ESPRESSO input file:
```
&SYSTEM
  ibrav = 0, nat = 7, ntyp = 2
/
ATOMIC_SPECIES
Ho 164.93 Ho.upf
Ac 227.00 Ac.upf
CELL_PARAMETERS angstrom
-5.257 -3.336 3.329
2.661 -4.208 -5.007
5.065 1.630 4.641
ATOMIC_POSITIONS crystal
Ho 0.250 0.500 0.750
Ho 0.750 0.250 0.500
Ac 0.000 0.000 0.000
Ho 0.750 0.500 0.250
Ho 0.500 0.750 0.250
Ho 0.250 0.750 0.500
Ho 0.500 0.250 0.750
```


3.
# Ac4Ho

A relaxed structure of Ac4Ho (PBE-GGA, Alexandria). Values from VASP.

Results
Crystal system: cubic
VASP energy, eV/atom: -3.648

Quantum ESPRESSO input file:
```
&SYSTEM
  ibrav = 0, nat = 5, ntyp = 2
/
ATOMIC_SPECIES
Ac 227.00 Ac.upf
Ho 164.93 Ho.upf
CELL_PARAMETERS angstrom
-4.294 -4.302 -1.470
3.468 -1.793 -4.885
2.939 -4.169 3.617
ATOMIC_POSITIONS crystal
Ac 0.000 0.500 0.500
Ac 0.000 0.000 0.000
Ac 0.500 0.500 0.000
Ac 0.500 0.000 0.500
Ho 0.500 0.500 0.500
```


These records have D(E_F) values of 10.3, 9.6, 8.9 states/eV/cell, in the order they appear.
These records have total moment values of 0.000, 0.000, 0.002 Bohr magnetons per cell, in the order they appear.